Here is a geometry-optimized RbP2SO structure from the Alexandria database. Energies are from PBE.

Structure (CIF):
```
data_RbP2SO
_chemical_formula_sum 'Rb1 P2 S1 O1'
_symmetry_space_group_name_H-M 'P 1'
_symmetry_Int_Tables_number 1
_cell_length_a 6.362
_cell_length_b 6.362
_cell_length_c 4.439
_cell_angle_alpha 90.00
_cell_angle_beta 90.00
_cell_angle_gamma 90.00
loop_
_symmetry_equiv_pos_as_xyz
'x,y,z'
loop_
_atom_site_label
_atom_site_fract_x
_atom_site_fract_y
_atom_site_fract_z
P1 0.000 0.500 0.000
P2 0.500 0.000 0.000
S1 0.500 0.500 0.500
O1 0.000 0.000 0.500
Rb1 0.000 0.000 0.000
```

Properties
Energy relative to the lowest polymorph listed for this composition, eV per atom: 1.3790
Mass density, g/cm3: 1.807
DOS at the Fermi energy, states/eV/atom: 1.2730
Energy relative to the elements, uncorrected, meV per atom: 1884
Space group: P4/mmm, No. 123
Total magnetic moment, μB/f.u.: 4.1

---

Here is a geometry-optimized RbP2SO structure from the Alexandria database. Energies are from PBE.

Structure (CIF):
```
data_RbP2SO
_chemical_formula_sum 'Rb1 P2 S1 O1'
_symmetry_space_group_name_H-M 'P 1'
_symmetry_Int_Tables_number 1
_cell_length_a 4.111
_cell_length_b 4.111
_cell_length_c 6.594
_cell_angle_alpha 90.00
_cell_angle_beta 90.00
_cell_angle_gamma 90.00
loop_
_symmetry_equiv_pos_as_xyz
'x,y,z'
loop_
_atom_site_label
_atom_site_fract_x
_atom_site_fract_y
_atom_site_fract_z
P1 0.000 0.500 0.000
P2 0.500 0.000 0.000
S1 0.000 0.000 0.500
O1 0.000 0.000 0.000
Rb1 0.500 0.500 0.500
```

Properties
Energy relative to the lowest polymorph listed for this composition, eV per atom: 0.0000
Mass density, g/cm3: 2.913
DOS at the Fermi energy, states/eV/atom: 1.1374
Energy relative to the elements, uncorrected, meV per atom: 505
Space group: P4/mmm, No. 123
Total magnetic moment, μB/f.u.: 0.0

---

Here is a geometry-optimized RbP2SO structure from the Alexandria database. Energies are from PBE.

Structure (CIF):
```
data_RbP2SO
_chemical_formula_sum 'Rb1 P2 S1 O1'
_symmetry_space_group_name_H-M 'P 1'
_symmetry_Int_Tables_number 1
_cell_length_a 7.306
_cell_length_b 7.306
_cell_length_c 6.448
_cell_angle_alpha 90.00
_cell_angle_beta 90.00
_cell_angle_gamma 90.00
loop_
_symmetry_equiv_pos_as_xyz
'x,y,z'
loop_
_atom_site_label
_atom_site_fract_x
_atom_site_fract_y
_atom_site_fract_z
P1 0.000 0.500 0.000
P2 0.500 0.000 0.000
S1 0.000 0.000 0.500
O1 0.500 0.500 0.500
Rb1 0.000 0.000 0.000
```

Properties
Energy relative to the lowest polymorph listed for this composition, eV per atom: 1.5108
Mass density, g/cm3: 0.943
DOS at the Fermi energy, states/eV/atom: 2.8328
Energy relative to the elements, uncorrected, meV per atom: 2015
Space group: P4/mmm, No. 123
Total magnetic moment, μB/f.u.: 9.0

---

Here is a geometry-optimized RbP2SO structure from the Alexandria database. Energies are from PBE.

Structure (CIF):
```
data_RbP2SO
_chemical_formula_sum 'Rb1 P2 S1 O1'
_symmetry_space_group_name_H-M 'P 1'
_symmetry_Int_Tables_number 1
_cell_length_a 4.684
_cell_length_b 4.684
_cell_length_c 4.579
_cell_angle_alpha 90.00
_cell_angle_beta 90.00
_cell_angle_gamma 90.00
loop_
_symmetry_equiv_pos_as_xyz
'x,y,z'
loop_
_atom_site_label
_atom_site_fract_x
_atom_site_fract_y
_atom_site_fract_z
P1 0.000 0.500 0.000
P2 0.500 0.000 0.000
S1 0.000 0.000 0.000
O1 0.000 0.000 0.500
Rb1 0.500 0.500 0.500
```

Properties
Energy relative to the lowest polymorph listed for this composition, eV per atom: 0.0598
Mass density, g/cm3: 3.232
DOS at the Fermi energy, states/eV/atom: 0.5647
Energy relative to the elements, uncorrected, meV per atom: 564
Space group: P4/mmm, No. 123
Total magnetic moment, μB/f.u.: 1.5